No. 1
An optimized crystal structure of Ac2UGa2N6, computed with PBE-GGA.

```
data_Ac2UGa2N6
_chemical_formula_sum 'Ac6 U3 Ga6 N18'
_space_group_name_H-M_alt 'R -3 m'
_space_group_IT_number 166
_space_group_name_Hall '-R 3 2"'
_cell_length_a 5.9981
_cell_length_b 5.9981
_cell_length_c 17.1490
_cell_angle_alpha 90.00
_cell_angle_beta 90.00
_cell_angle_gamma 120.00
loop_
_atom_site_label
_atom_site_type_symbol
_atom_site_fract_x
_atom_site_fract_y
_atom_site_fract_z
Ac1 Ac 0.0000 0.0000 0.2087
U1 U 0.0000 0.0000 0.0000
Ga1 Ga 0.0000 0.0000 0.4166
N1 N 0.0222 0.5111 0.7523
```

## Properties
magnetic moment: 0.000 μB per formula unit
E: -0.2818 Ha/atom
volume: 16.191 A^3/atom
energy relative to the elements, uncorrected: -804 meV/atom



No. 2
An optimized crystal structure of AcZnGaN, computed with PBE-GGA.

```
data_AcZnGaN
_chemical_formula_sum 'Ac2 Zn2 Ga2 N2'
_space_group_name_H-M_alt 'P 4/n m m'
_space_group_IT_number 129
_cell_length_a 4.021
_cell_length_b 4.021
_cell_length_c 9.408
_cell_angle_alpha 90.00
_cell_angle_beta 90.00
_cell_angle_gamma 90.00
loop_
_space_group_symop_operation_xyz
'x,y,z'
'-x,-y,-z'
'-y+1/2,x,z'
'y+1/2,-x,-z'
'-x+1/2,-y+1/2,z'
'x+1/2,y+1/2,-z'
'y,-x+1/2,z'
'-y,x+1/2,-z'
'x+1/2,-y,-z'
'-x+1/2,y,z'
'-y,-x,-z'
'y,x,z'
'-x,y+1/2,-z'
'x,-y+1/2,z'
'y+1/2,x+1/2,-z'
'-y+1/2,-x+1/2,z'
loop_
_atom_site_label
_atom_site_type_symbol
_atom_site_fract_x
_atom_site_fract_y
_atom_site_fract_z
Ac1 Ac 0.250 0.250 0.146
Zn1 Zn 0.250 0.250 0.673
Ga1 Ga 0.250 0.750 0.500
N1 N 0.250 0.250 0.884
```

## Properties
magnetic moment: 0.000 μB per formula unit
E: -0.1779 Ha/atom
volume: 19.018 A^3/atom
energy relative to the elements, uncorrected: -656 meV/atom



No. 3
An optimized crystal structure of Ac2ZnGaN, computed with PBE-GGA.

```
data_Ac2ZnGaN
_chemical_formula_sum 'Ac4 Zn2 Ga2 N2'
_space_group_name_H-M_alt 'P 1 21/m 1'
_space_group_IT_number 11
_space_group_name_Hall '-P 2yb'
_cell_length_a 7.150
_cell_length_b 4.121
_cell_length_c 8.905
_cell_angle_alpha 90.00
_cell_angle_beta 108.20
_cell_angle_gamma 90.00
loop_
_atom_site_label
_atom_site_type_symbol
_atom_site_fract_x
_atom_site_fract_y
_atom_site_fract_z
Ac1 Ac 0.194 0.250 0.386
Ac2 Ac 0.209 0.250 0.961
Zn1 Zn 0.460 0.750 0.247
Ga1 Ga 0.324 0.750 0.701
N1 N 0.160 0.750 0.169
```

## Properties
magnetic moment: 0.000 μB per formula unit
E: -0.1763 Ha/atom
volume: 24.922 A^3/atom
energy relative to the elements, uncorrected: -628 meV/atom



No. 4
An optimized crystal structure of Na2AcGa, computed with PBE-GGA.

```
data_Na2AcGa
_chemical_formula_sum 'Na6 Ac3 Ga3'
_space_group_name_H-M_alt 'R -3 m'
_space_group_IT_number 166
_space_group_name_Hall '-R 3 2"'
_cell_length_a 3.6432
_cell_length_b 3.6432
_cell_length_c 36.1873
_cell_angle_alpha 90.00
_cell_angle_beta 90.00
_cell_angle_gamma 120.00
loop_
_atom_site_label
_atom_site_type_symbol
_atom_site_fract_x
_atom_site_fract_y
_atom_site_fract_z
Na1 Na 0.0000 0.0000 0.0999
Ac1 Ac 0.0000 0.0000 0.0000
Ga1 Ga 0.0000 0.0000 0.5000
```

## Properties
magnetic moment: 0.000 μB per formula unit
E: -0.0808 Ha/atom
volume: 34.664 A^3/atom
E_form: 0.98 eV per formula unit



No. 5
An optimized crystal structure of NaAc2Ga, computed with PBE-GGA.

```
data_NaAc2Ga
_chemical_formula_sum 'Na3 Ac6 Ga3'
_space_group_name_H-M_alt 'R -3 m'
_space_group_IT_number 166
_space_group_name_Hall '-R 3 2"'
_cell_length_a 4.0260
_cell_length_b 4.0260
_cell_length_c 33.4026
_cell_angle_alpha 90.00
_cell_angle_beta 90.00
_cell_angle_gamma 120.00
loop_
_atom_site_label
_atom_site_type_symbol
_atom_site_fract_x
_atom_site_fract_y
_atom_site_fract_z
Na1 Na 0.0000 0.0000 0.0000
Ac1 Ac 0.0000 0.0000 0.2332
Ga1 Ga 0.0000 0.0000 0.5000
```

## Properties
magnetic moment: 0.000 μB per formula unit
E: -0.1186 Ha/atom
volume: 39.072 A^3/atom
E_form: -0.34 eV per formula unit



No. 6
An optimized crystal structure of NaAcGa4, computed with PBE-GGA.

```
data_NaAcGa4
_chemical_formula_sum 'Na1 Ac1 Ga4'
_space_group_name_H-M_alt 'P m m m'
_space_group_IT_number 47
_space_group_name_Hall '-P 2 2'
_cell_length_a 4.359
_cell_length_b 4.665
_cell_length_c 7.518
_cell_angle_alpha 90.00
_cell_angle_beta 90.00
_cell_angle_gamma 90.00
loop_
_atom_site_label
_atom_site_type_symbol
_atom_site_fract_x
_atom_site_fract_y
_atom_site_fract_z
Na1 Na 0.000 0.000 0.000
Ac1 Ac 0.500 0.000 0.500
Ga1 Ga 0.000 0.500 0.330
Ga2 Ga 0.500 0.500 0.163
```

## Properties
magnetic moment: 0.000 μB per formula unit
E: -0.1214 Ha/atom
volume: 25.481 A^3/atom
E_form: -2.29 eV per formula unit
polymorph energy (0 for the lowest one): 0 meV/atom



No. 7
An optimized crystal structure of NaAc2Ga, computed with PBE-GGA.

```
data_NaAc2Ga
_chemical_formula_sum 'Na1 Ac2 Ga1'
_space_group_name_H-M_alt 'P 4/m m m'
_space_group_IT_number 123
_space_group_name_Hall '-P 4 2'
_cell_length_a 5.647
_cell_length_b 5.647
_cell_length_c 4.192
_cell_angle_alpha 90.00
_cell_angle_beta 90.00
_cell_angle_gamma 90.00
loop_
_atom_site_label
_atom_site_type_symbol
_atom_site_fract_x
_atom_site_fract_y
_atom_site_fract_z
Na1 Na 0.000 0.000 0.000
Ac1 Ac 0.000 0.500 0.500
Ga1 Ga 0.500 0.500 0.000
```

## Properties
magnetic moment: 0.000 μB per formula unit
E: -0.1189 Ha/atom
volume: 33.417 A^3/atom
E_form: -0.38 eV per formula unit



No. 8
An optimized crystal structure of Na2AcGa6, computed with PBE-GGA.

```
data_Na2AcGa6
_chemical_formula_sum 'Na4 Ac2 Ga12'
_space_group_name_H-M_alt 'I m m m'
_space_group_IT_number 71
_space_group_name_Hall '-I 2 2'
_cell_length_a 4.370
_cell_length_b 7.562
_cell_length_c 12.560
_cell_angle_alpha 90.00
_cell_angle_beta 90.00
_cell_angle_gamma 90.00
loop_
_atom_site_label
_atom_site_type_symbol
_atom_site_fract_x
_atom_site_fract_y
_atom_site_fract_z
Na1 Na 0.000 0.000 0.122
Ac1 Ac 0.000 0.500 0.000
Ga1 Ga 0.000 0.195 0.310
Ga2 Ga 0.000 0.330 0.500
```

## Properties
magnetic moment: 0.000 μB per formula unit
E: -0.1084 Ha/atom
volume: 23.060 A^3/atom
E_form: -1.65 eV per formula unit



Look up the volume of the sixth one.
25.481 A^3/atom